Entry 1:
Density functional theory data (GGA-PBE) for a relaxed LaSc2Si crystal.

* total DFT energy (no corrections): -5.894 eV per atom
* formation energy without anion corrections: -0.14 eV/atom
* N(E_F): 1.0154 states/eV/atom

extended XYZ file:
```
4
Lattice="-5.327 -7.645 1.921 -4.891 -7.999 -1.615 -2.369 -9.193 0.628" Properties=species:S:1:pos:R:3 pbc="T T T"
La -9.440 -18.627 0.700
Sc -12.308 -24.286 0.913
Sc -6.572 -12.968 0.487
Si -3.147 -6.209 0.233
```

=====

Entry 2:
Density functional theory data (GGA-PBE) for a relaxed LiErLuNi crystal.

* total DFT energy (no corrections): -4.377 eV per atom
* ΔE_f: -0.183 eV/atom
* N(E_F): 0.7568 states/eV/atom

extended XYZ file:
```
4
Lattice="-3.957 2.769 0.353 -4.178 -1.928 1.510 -1.765 1.157 4.359" Properties=species:S:1:pos:R:3 pbc="T T T"
Ni -7.425 1.498 4.666
Lu -4.950 0.999 3.111
Li -2.475 0.499 1.555
Er 0.000 0.000 0.000
```

=====

Entry 3:
Density functional theory data (GGA-PBE) for a relaxed NdSm2HoTl2 crystal.

* total DFT energy (no corrections): -4.189 eV per atom
* ΔE_f: -0.269 eV/atom
* N(E_F): 1.0828 states/eV/atom

extended XYZ file:
```
12
Lattice="5.191 0.000 0.000 0.000 6.913 0.000 0.000 0.000 10.166" Properties=species:S:1:pos:R:3 pbc="T T T"
Nd 0.000 6.639 4.638
Nd 0.000 3.182 5.528
Sm 2.595 0.366 0.462
Sm 0.000 2.301 1.854
Sm 2.595 3.823 9.704
Sm 0.000 5.758 8.312
Ho 2.595 1.243 7.002
Ho 2.595 4.699 3.163
Tl 0.000 2.052 8.749
Tl 2.595 1.541 3.747
Tl 0.000 5.508 1.417
Tl 2.595 4.998 6.418
```

=====

Repeat the second record exactly.
Density functional theory data (GGA-PBE) for a relaxed LiErLuNi crystal.

* total DFT energy (no corrections): -4.377 eV per atom
* ΔE_f: -0.183 eV/atom
* N(E_F): 0.7568 states/eV/atom

extended XYZ file:
```
4
Lattice="-3.957 2.769 0.353 -4.178 -1.928 1.510 -1.765 1.157 4.359" Properties=species:S:1:pos:R:3 pbc="T T T"
Ni -7.425 1.498 4.666
Lu -4.950 0.999 3.111
Li -2.475 0.499 1.555
Er 0.000 0.000 0.000
```